1.
Material: Cs12Rb7Zn
Method: DFT, PBE
State: optimized geometry

a = 22.7608 Å, b = 22.7608 Å, c = 13.7690 Å
α = 90.00°, β = 90.00°, γ = 120.00°
Space group R-3 (No. 148, hexagonal axes)
Inequivalent atoms, fractional coordinates:
Cs: 0.0280 0.2405 0.0483 x18
Cs: 0.0325 0.1444 0.6934 x18
Rb: 0.0000 0.0000 0.0000 x3
Rb: 0.0510 0.4550 0.0942 x18
Zn: 0.0000 0.0000 0.5000 x3

For the energy relative to the elements, the calculation gives 0.0440 eV/atom. As for the total energy: -52.2 eV per cell. The value obtained for the density of states at the Fermi level is 62.42 states/eV per cell.

2.
Material: Cs2RbZn
Method: DFT, PBE
State: optimized geometry

a = 9.188 Å, b = 5.333 Å, c = 13.242 Å
α = 90.00°, β = 102.82°, γ = 90.00°
Space group Cm (No. 8)
Inequivalent atoms, fractional coordinates:
Cs: 0.000 0.000 0.000 x2
Cs: 0.219 0.000 0.652 x2
Rb: 0.444 0.000 0.327 x2
Zn: 0.109 0.500 0.826 x2

Its relative energy among the computed polymorphs is 0.007 eV per atom. For the energy relative to the elements, the calculation gives 0.1281 eV/atom. As for the total energy: -6.9 eV per cell. The value obtained for the density of states at the Fermi level is 7.11 states/eV per cell.

3.
Material: CsRbZn2
Method: DFT, PBE
State: optimized geometry

a = 8.996 Å, b = 8.996 Å, c = 8.996 Å
α = 90.00°, β = 90.00°, γ = 90.00°
Space group Fm-3m (No. 225)
Inequivalent atoms, fractional coordinates:
Cs: 0.000 0.000 0.000 x4
Rb: 0.000 0.000 0.500 x4
Zn: 0.250 0.250 0.250 x8

Its relative energy among the computed polymorphs is 0.000 eV per atom. For the energy relative to the elements, the calculation gives 0.2472 eV/atom. As for the total energy: -13.5 eV per cell. The value obtained for the density of states at the Fermi level is 22.68 states/eV per cell.